The following is a meta-GGA SCAN calculation of a crystal of MgSb2H2F14 relaxed with PBEsol, from Alexandria via LeMat-Bulk.

Unit cell a=12.9305 b=12.4457 c=6.7272 alpha=90.00 beta=90.00 gamma=90.00
Sites, in units of the cell vectors:
Mg 0.0874 0.2500 0.2156
Mg 0.4126 0.7500 0.7156
Mg 0.5874 0.2500 0.2844
Mg 0.9126 0.7500 0.7844
Sb 0.0000 0.0000 0.5000
Sb 0.0000 0.5000 0.5000
Sb 0.1741 0.7500 0.0308
Sb 0.3259 0.2500 0.5308
Sb 0.5000 0.0000 0.0000
Sb 0.5000 0.5000 0.0000
Sb 0.6741 0.7500 0.4692
Sb 0.8259 0.2500 0.9692
H 0.0811 0.0937 0.9173
H 0.0811 0.4063 0.9173
H 0.4189 0.5937 0.4173
H 0.4189 0.9063 0.4173
H 0.5811 0.0937 0.5827
H 0.5811 0.4063 0.5827
H 0.9189 0.5937 0.0827
H 0.9189 0.9063 0.0827
F 0.0247 0.0295 0.7773
F 0.0247 0.4705 0.7773
F 0.0598 0.1370 0.4276
F 0.0598 0.3630 0.4276
F 0.0635 0.7500 0.8306
F 0.0687 0.7500 0.2257
F 0.1160 0.1338 0.0251
F 0.1160 0.3662 0.0251
F 0.1307 0.5630 0.4828
F 0.1307 0.9370 0.4828
F 0.1737 0.5990 0.0133
F 0.1737 0.9010 0.0133
F 0.2116 0.2500 0.7045
F 0.2329 0.2500 0.3008
F 0.2671 0.7500 0.8008
F 0.2884 0.7500 0.2045
F 0.3263 0.0990 0.5133
F 0.3263 0.4010 0.5133
F 0.3693 0.0630 0.9828
F 0.3693 0.4370 0.9828
F 0.3840 0.6338 0.5251
F 0.3840 0.8662 0.5251
F 0.4313 0.2500 0.7257
F 0.4365 0.2500 0.3306
F 0.4402 0.6370 0.9276
F 0.4402 0.8630 0.9276
F 0.4753 0.5295 0.2773
F 0.4753 0.9705 0.2773
F 0.5247 0.0295 0.7227
F 0.5247 0.4705 0.7227
F 0.5598 0.1370 0.0724
F 0.5598 0.3630 0.0724
F 0.5635 0.7500 0.6694
F 0.5687 0.7500 0.2743
F 0.6160 0.1338 0.4749
F 0.6160 0.3662 0.4749
F 0.6307 0.5630 0.0172
F 0.6307 0.9370 0.0172
F 0.6737 0.5990 0.4867
F 0.6737 0.9010 0.4867
F 0.7116 0.2500 0.7955
F 0.7329 0.2500 0.1992
F 0.7671 0.7500 0.6992
F 0.7884 0.7500 0.2955
F 0.8263 0.0990 0.9867
F 0.8263 0.4010 0.9867
F 0.8693 0.0630 0.5172
F 0.8693 0.4370 0.5172
F 0.8840 0.6338 0.9749
F 0.8840 0.8662 0.9749
F 0.9313 0.2500 0.7743
F 0.9365 0.2500 0.1694
F 0.9402 0.6370 0.5724
F 0.9402 0.8630 0.5724
F 0.9753 0.5295 0.2227
F 0.9753 0.9705 0.2227

## Properties
The total energy comes out at -9.6011 eV per atom. As for the symmetry: Pnma.